# 1
Density functional theory data (SCAN) for a PBEsol-optimized structure of AlHgRu2.

The total DFT energy (no corrections) is -145.57 eV/cell.

Cell: 2.816 2.816 7.760 Å, 90.00 90.00 90.00°
Atoms (fractional coordinates):
1 Ru 0.000 0.000 0.034
2 Ru 0.500 0.500 0.245
3 Hg 0.500 0.500 0.759
4 Al 0.000 0.000 0.462


# 2
Density functional theory data (SCAN) for a PBEsol-optimized structure of AlHg2Ru.

The total DFT energy (no corrections) is -177.63 eV/cell.

Cell: 2.937 4.814 4.989 Å, 90.00 90.00 90.83°
Each line ends with the local moment (μB).
Atoms (fractional coordinates):
1 Ru 0.000 0.000 0.500  1.00
2 Hg 0.263 0.247 0.000  -0.01
3 Hg 0.737 0.753 0.000  -0.01
4 Al 0.500 0.500 0.500  -0.01


# 3
Density functional theory data (SCAN) for a PBEsol-optimized structure of AlHgRu2.

The total DFT energy (no corrections) is -144.52 eV/cell.

Cell: 2.817 4.914 5.198 Å, 116.75 103.40 94.76°
Each line ends with the local moment (μB).
Atoms (fractional coordinates):
1 Ru 0.000 0.000 0.500  0.60
2 Ru 0.500 0.500 0.500  0.60
3 Hg 0.000 0.500 0.000  0.00
4 Al 0.500 0.000 0.000  -0.01


# 4
Density functional theory data (SCAN) for a PBEsol-optimized structure of AlHg2Ru.

The total DFT energy (no corrections) is -177.55 eV/cell.

Cell: 3.256 3.845 5.531 Å, 90.00 90.00 90.00°
Atoms (fractional coordinates):
1 Ru 0.500 0.500 0.000
2 Hg 0.000 0.000 0.752
3 Hg 0.000 0.000 0.248
4 Al 0.500 0.500 0.500


# 5
Density functional theory data (SCAN) for a PBEsol-optimized structure of AlHgRu2.

The total DFT energy (no corrections) is -145.25 eV/cell.

Cell: 2.855 4.571 5.033 Å, 101.88 90.00 108.20°
Atoms (fractional coordinates):
1 Ru 0.736 0.473 0.715
2 Ru 0.264 0.527 0.285
3 Hg 0.500 0.000 0.000
4 Al 0.000 0.000 0.500


# 6
Density functional theory data (SCAN) for a PBEsol-optimized structure of Al2HgRu.

The total DFT energy (no corrections) is -119.45 eV/cell.

Cell: 3.178 4.415 4.415 Å, 99.60 90.00 90.00°
Atoms (fractional coordinates):
1 Ru 0.500 0.500 0.500
2 Hg 0.500 0.000 0.000
3 Al 0.000 0.500 0.000
4 Al 0.000 0.000 0.500


# 7
Density functional theory data (SCAN) for a PBEsol-optimized structure of Al2HgRu.

The total DFT energy (no corrections) is -119.29 eV/cell.

Cell: 3.065 4.504 4.545 Å, 90.00 90.00 90.00°
Atoms (fractional coordinates):
1 Ru 0.500 0.500 0.249
2 Hg 0.000 0.000 0.475
3 Al 0.500 0.000 0.980
4 Al 0.000 0.500 0.796


# 8
Density functional theory data (SCAN) for a PBEsol-optimized structure of AlHgS2.

The formation energy from raw total energies comes out at 0.020 eV per atom. The total DFT energy (no corrections) is -95.09 eV/cell.

Cell: 3.965 3.965 7.529 Å, 74.74 74.74 60.00°
Atoms (fractional coordinates):
1 S 0.900 0.900 0.299
2 S 0.100 0.100 0.701
3 Hg 0.500 0.500 0.500
4 Al 0.000 0.000 0.000


# 9
Density functional theory data (SCAN) for a PBEsol-optimized structure of AlHgS3.

The formation energy from raw total energies comes out at 0.847 eV per atom. The total DFT energy (no corrections) is -100.57 eV/cell.

Cell: 4.893 4.893 4.893 Å, 90.00 90.00 90.00°
Atoms (fractional coordinates):
1 S 0.000 0.500 0.000
2 S 0.000 0.000 0.500
3 S 0.500 0.000 0.000
4 Hg 0.000 0.000 0.000
5 Al 0.500 0.500 0.500


# 10
Density functional theory data (SCAN) for a PBEsol-optimized structure of Al2HgTeS.

The formation energy from raw total energies comes out at 0.565 eV per atom. The total DFT energy (no corrections) is -127.72 eV/cell.

Cell: 5.067 4.987 4.987 Å, 90.00 90.00 90.00°
Atoms (fractional coordinates):
1 S 0.500 0.000 0.000
2 Te 0.500 0.500 0.500
3 Hg 0.000 0.000 0.000
4 Al 0.000 0.000 0.500
5 Al 0.000 0.500 0.000


# 11
Density functional theory data (SCAN) for a PBEsol-optimized structure of Al2HgSb.

The formation energy from raw total energies comes out at 0.060 eV per atom. The total DFT energy (no corrections) is -120.69 eV/cell.

Cell: 4.040 4.040 6.677 Å, 72.39 72.39 60.00°
Atoms (fractional coordinates):
1 Sb 0.500 0.500 0.500
2 Hg 0.000 0.000 0.000
3 Al 0.747 0.747 0.760
4 Al 0.253 0.253 0.240


# 12
Density functional theory data (SCAN) for a PBEsol-optimized structure of Al3HgSb.

The formation energy from raw total energies comes out at 0.486 eV per atom. The total DFT energy (no corrections) is -126.25 eV/cell.

Cell: 4.964 4.964 4.964 Å, 90.00 90.00 90.00°
Atoms (fractional coordinates):
1 Sb 0.500 0.500 0.500
2 Hg 0.000 0.000 0.000
3 Al 0.000 0.500 0.000
4 Al 0.000 0.000 0.500
5 Al 0.500 0.000 0.000